{
  "formula": "Ba2SnHOs",
  "functional": "PBE-GGA",
  "state": "optimized geometry",
  "lattice_angstrom": [[-0.335, -1.470, -6.426], [4.934, -0.286, -0.192], [-0.315, -6.423, 1.485]],
  "species": ["Sn", "Ba", "Ba", "Os", "H"],
  "fractional_positions": [[0.000, 0.000, 0.000], [0.000, 0.000, 0.500], [0.500, 0.000, 0.000], [0.000, 0.500, 0.000], [0.500, 0.500, 0.500]],
  "e_tot_ev_per_atom": -3.725
}

{
  "formula": "La2Ga3Ag5",
  "functional": "PBE-GGA",
  "state": "optimized geometry",
  "lattice_angstrom": [[5.863, 0.000, 2.218], [2.551, 8.324, 2.113], [-0.037, -0.223, 8.956]],
  "species": ["La", "Ga", "La", "Ag", "Ag", "La", "Ag", "Ag", "Ag", "Ga", "Ag", "Ag", "Ag", "Ga", "Ag", "Ag", "La", "Ga", "Ga", "Ga"],
  "fractional_positions": [[0.871, 0.390, 0.868], [0.128, 0.245, 0.499], [0.371, 0.868, 0.390], [0.111, 0.035, 0.744], [0.611, 0.744, 0.035], [0.629, 0.132, 0.610], [0.750, 0.500, 0.500], [0.495, 0.755, 0.755], [0.889, 0.965, 0.256], [0.250, 0.000, 0.000], [0.005, 0.245, 0.245], [0.250, 0.500, 0.500], [0.389, 0.256, 0.965], [0.750, 0.000, 0.000], [0.505, 0.245, 0.245], [0.995, 0.755, 0.755], [0.129, 0.610, 0.132], [0.372, 0.501, 0.755], [0.628, 0.499, 0.245], [0.872, 0.755, 0.501]],
  "formation_energy_ev_per_fu": -3.214
}

{
  "formula": "BaCaZn2Pt",
  "functional": "PBE-GGA",
  "state": "optimized geometry",
  "lattice_angstrom": [[5.083, 0.000, 0.000], [0.000, 5.083, 0.000], [0.000, 0.000, 5.344]],
  "species": ["Pt", "Zn", "Ba", "Ca", "Zn"],
  "fractional_positions": [[0.000, 0.000, 0.000], [0.500, 0.000, 0.000], [0.500, 0.500, 0.500], [0.000, 0.000, 0.500], [0.000, 0.500, 0.000]],
  "formation_energy_ev_per_fu": -1.849
}

{
  "formula": "NdErMn",
  "functional": "PBE-GGA",
  "state": "optimized geometry",
  "lattice_angstrom": [[-3.252, -1.075, 0.862], [0.359, -2.793, -2.131], [3.862, -1.470, 5.504]],
  "species": ["Nd", "Mn", "Er"],
  "fractional_positions": [[0.027, 0.027, 0.053], [0.672, 0.672, 0.344], [0.301, 0.301, 0.603]],
  "formation_energy_ev_per_fu": 0.566
}

{
  "formula": "Zn2In",
  "functional": "PBE-GGA",
  "state": "optimized geometry",
  "lattice_angstrom": [[-3.333, 0.801, 3.383], [-0.364, -3.730, 3.024], [3.551, 2.836, -1.594]],
  "species": ["Zn", "In", "Zn"],
  "fractional_positions": [[0.662, 0.662, 0.000], [0.000, 0.000, 0.000], [0.338, 0.338, 0.000]],
  "formation_energy_ev_per_fu": 0.316
}

{
  "formula": "PrNd4Co2",
  "functional": "PBE-GGA",
  "state": "optimized geometry",
  "lattice_angstrom": [[-3.113, 5.472, 2.549], [-7.640, -4.705, 0.770], [4.058, -0.366, 5.739]],
  "species": ["Co", "Co", "Pr", "Co", "Co", "Nd", "Nd", "Nd", "Nd", "Nd", "Nd", "Nd", "Nd", "Pr"],
  "fractional_positions": [[0.750, 0.337, 0.375], [0.750, 0.663, 0.038], [0.750, 0.207, 0.975], [0.250, 0.663, 0.625], [0.250, 0.337, 0.962], [0.000, 0.434, 0.717], [0.250, 0.209, 0.231], [0.000, 0.566, 0.283], [0.750, 0.791, 0.769], [0.500, 0.434, 0.717], [0.500, 0.566, 0.283], [0.250, 0.999, 0.667], [0.750, 0.001, 0.333], [0.250, 0.793, 0.025]],
  "formation_energy_ev_per_fu": -0.012
}

{
  "formula": "Zn2Ga6Pb",
  "functional": "PBE-GGA",
  "state": "optimized geometry",
  "lattice_angstrom": [[-2.849, 0.820, -3.019], [-3.070, -1.521, 2.484], [-1.411, 9.029, 3.785]],
  "species": ["Ga", "Ga", "Zn", "Ga", "Ga", "Pb", "Zn", "Ga", "Ga"],
  "fractional_positions": [[0.000, 0.500, 0.708], [0.000, 0.000, 0.500], [0.500, 0.500, 0.126], [0.000, 0.500, 0.292], [0.500, 0.000, 0.708], [0.000, 0.000, 0.000], [0.500, 0.500, 0.874], [0.500, 0.000, 0.292], [0.500, 0.500, 0.500]],
  "formation_energy_ev_per_fu": 0.461
}

{
  "formula": "NdSm4Co",
  "functional": "PBE-GGA",
  "state": "optimized geometry",
  "lattice_angstrom": [[5.938, 0.000, -0.499], [0.000, 7.390, 0.000], [-2.274, -3.695, 8.554]],
  "species": ["Nd", "Sm", "Sm", "Sm", "Sm", "Sm", "Co", "Sm", "Sm", "Sm", "Co", "Nd"],
  "fractional_positions": [[0.803, 0.803, 0.606], [0.383, 0.634, 0.765], [0.000, 0.768, 0.000], [0.173, 0.673, 0.346], [0.617, 0.869, 0.235], [0.383, 0.131, 0.765], [0.688, 0.500, 0.999], [0.000, 0.232, 0.000], [0.617, 0.366, 0.235], [0.827, 0.327, 0.654], [0.312, 0.500, 0.001], [0.197, 0.197, 0.394]],
  "formation_energy_ev_per_fu": 0.007
}

{
  "formula": "AlGaCoOs",
  "functional": "PBE-GGA",
  "state": "optimized geometry",
  "lattice_angstrom": [[4.191, 0.000, 0.000], [2.095, 3.629, 0.000], [2.095, 1.210, 3.422]],
  "species": ["Ga", "Co", "Os", "Al"],
  "fractional_positions": [[0.250, 0.250, 0.250], [0.000, 0.000, 0.000], [0.500, 0.500, 0.500], [0.750, 0.750, 0.750]],
  "formation_energy_ev_per_fu": -1.152
}

{
  "formula": "TmAlSn2",
  "functional": "PBE-GGA",
  "state": "optimized geometry",
  "lattice_angstrom": [[4.454, 0.000, 0.000], [0.000, 4.592, 0.000], [0.000, 0.000, 4.592]],
  "species": ["Al", "Sn", "Sn", "Tm"],
  "fractional_positions": [[0.500, 0.000, 0.000], [0.000, 0.500, 0.000], [0.000, 0.000, 0.500], [0.500, 0.500, 0.500]],
  "formation_energy_ev_per_fu": -1.356
}

{
  "formula": "PuBeGa2Au4",
  "functional": "PBE-GGA",
  "state": "optimized geometry",
  "lattice_angstrom": [[4.470, 0.000, 0.000], [2.235, 3.871, 0.000], [2.235, 1.290, 8.542]],
  "species": ["Au", "Pu", "Ga", "Au", "Au", "Ga", "Be", "Au"],
  "fractional_positions": [[0.405, 0.405, 0.785], [0.000, 0.000, 0.000], [0.254, 0.254, 0.238], [0.141, 0.141, 0.577], [0.595, 0.595, 0.215], [0.746, 0.746, 0.762], [0.500, 0.500, 0.500], [0.859, 0.859, 0.423]],
  "formation_energy_ev_per_fu": -1.996
}

{
  "formula": "Fe3CuNi6",
  "functional": "PBE-GGA",
  "state": "optimized geometry",
  "lattice_angstrom": [[4.093, 0.000, 0.000], [0.000, 6.168, -2.553], [0.000, -0.320, 9.050]],
  "species": ["Fe", "Ni", "Fe", "Fe", "Ni", "Ni", "Fe", "Ni", "Fe", "Ni", "Cu", "Ni", "Ni", "Cu", "Ni", "Ni", "Ni", "Fe", "Ni", "Ni"],
  "fractional_positions": [[0.250, 0.769, 0.972], [0.750, 0.536, 0.932], [0.250, 0.560, 0.370], [0.250, 0.364, 0.769], [0.750, 0.834, 0.832], [0.750, 0.937, 0.133], [0.750, 0.440, 0.630], [0.250, 0.063, 0.867], [0.750, 0.636, 0.231], [0.750, 0.733, 0.534], [0.250, 0.965, 0.568], [0.750, 0.331, 0.328], [0.750, 0.136, 0.734], [0.750, 0.035, 0.432], [0.250, 0.669, 0.672], [0.250, 0.464, 0.068], [0.250, 0.166, 0.168], [0.750, 0.231, 0.028], [0.250, 0.267, 0.466], [0.250, 0.864, 0.266]],
  "formation_energy_ev_per_fu": -0.269
}